[1]
This record from Alexandria describes crystalline BaHg2Bi at its relaxed geometry. The functional is PBEsol.

Cell and atoms, written as extended XYZ:
```
8
Lattice="5.016 0.000 0.000 0.000 5.016 0.000 -2.508 -2.508 10.986" Properties=species:S:1:pos:R:3 pbc="T T T"
Ba 2.508 0.000 5.493
Ba 2.508 2.508 0.000
Bi 0.000 2.508 5.493
Bi 0.000 0.000 0.000
Hg 0.855 3.762 2.747
Hg 4.161 1.254 2.747
Hg -1.254 -1.653 8.240
Hg 1.254 1.653 8.240
```

Properties
- formation enthalpy at 0 K (eV/atom) = -0.3828
- mass density (g/cm3) = 9.0
- total DFT energy (no corrections) (eV for the cell shown) = -18.2

=====

[2]
This record from Alexandria describes crystalline Ba3BiI at its relaxed geometry. The functional is PBEsol.

Cell and atoms, written as extended XYZ:
```
5
Lattice="-0.831 -6.097 1.390 -0.953 -1.262 -6.107 6.181 -1.014 -0.755" Properties=species:S:1:pos:R:3 pbc="T T T"
I 0.000 0.000 0.000
Bi 2.198 -4.187 -2.736
Ba -0.477 -0.631 -3.054
Ba 3.090 -0.507 -0.377
Ba -0.415 -3.049 0.695
```

Properties
- mass density (g/cm3) = 4.9
- ΔE_f (raw) (eV/atom) = -0.511
- total DFT energy (no corrections) (eV for the cell shown) = -15.1